# 1
Compound: LiCd2Cu
Source: Alexandria
Functional: PBEsol
Structure: optimized geometry

- DFT total energy (eV per atom) = -2.27
- crystal system = orthorhombic
- magnetization (Bohr magnetons per cell) = 0.00

Unit cell a=5.0428 b=5.0428 c=5.0428 alpha=135.53 beta=133.06 gamma=66.65
Closest atoms and distances in Å follow each position.
Element x y z (fractional)
Li 0.0000 0.0000 0.0000  8 Cd 2.77-2.89, 4 Cu 2.81-2.94
Cd 0.2542 0.7542 0.5000  4 Cu 2.77, 4 Cd 2.87-2.89, 4 Li 2.87-2.89
Cd 0.5081 0.5081 0.0000  4 Li 2.77, 4 Cu 2.82-2.93, 4 Cd 2.87-2.89
Cu 0.7546 0.2546 0.5000  8 Cd 2.77-2.93, 4 Li 2.81-2.94

=====

# 2
Compound: LiCdCu2P
Source: Alexandria
Functional: PBEsol
Structure: optimized geometry

- DFT total energy (eV per atom) = -2.99
- crystal system = tetragonal
- magnetization (Bohr magnetons per cell) = 0.00

Unit cell a=4.2338 b=4.2338 c=4.1471 alpha=90.00 beta=90.00 gamma=90.00
Closest atoms and distances in Å follow each position.
Element x y z (fractional)
Li 0.0000 0.0000 0.0000  2 P 2.07, 4 Cu 2.12
Cd 0.5000 0.5000 0.5000  8 Cu 2.96, 4 P 2.99
Cu 0.0000 0.5000 0.0000  2 Li 2.12
Cu 0.5000 0.0000 0.0000  2 Li 2.12
P 0.0000 0.0000 0.5000  2 Li 2.07

=====

# 3
Compound: LiCdCu2Pt
Source: Alexandria
Functional: PBEsol
Structure: optimized geometry

- DFT total energy (eV per atom) = -2.75
- crystal system = tetragonal
- magnetization (Bohr magnetons per cell) = 0.00

Unit cell a=4.5945 b=4.5945 c=4.3259 alpha=90.00 beta=90.00 gamma=90.00
Closest atoms and distances in Å follow each position.
Element x y z (fractional)
Li 0.0000 0.0000 0.0000  2 Cd 2.16
Cd 0.0000 0.0000 0.5000  2 Li 2.16, 4 Cu 2.30
Cu 0.0000 0.5000 0.5000  2 Cd 2.30
Cu 0.5000 0.0000 0.5000  2 Cd 2.30
Pt 0.5000 0.5000 0.0000  8 Cu 3.16, 4 Li 3.25

=====

# 4
Compound: Mg2CdCu
Source: Alexandria
Functional: PBEsol
Structure: optimized geometry

- DFT total energy (eV per atom) = -2.27
- crystal system = tetragonal
- magnetization (Bohr magnetons per cell) = 0.00

Unit cell a=3.2958 b=3.2958 c=6.5996 alpha=90.00 beta=90.00 gamma=90.00
Closest atoms and distances in Å follow each position.
Element x y z (fractional)
Mg 0.0000 0.0000 0.0000  4 Cu 2.71, 1 Cd 2.85
Mg 0.5000 0.5000 0.3002  4 Cd 2.92, 4 Mg 3.06, 1 Cu 3.23
Cd 0.0000 0.0000 0.5675  4 Cu 2.75, 5 Mg 2.85-2.92
Cu 0.5000 0.5000 0.7898  4 Mg 2.71, 4 Cd 2.75

=====

# 5
Compound: Mg2CdCu
Source: Alexandria
Functional: PBEsol
Structure: optimized geometry

- DFT total energy (eV per atom) = -2.28
- crystal system = orthorhombic
- magnetization (Bohr magnetons per cell) = 0.00

Unit cell a=4.5291 b=4.5291 c=3.4409 alpha=90.00 beta=90.00 gamma=92.56
Closest atoms and distances in Å follow each position.
Element x y z (fractional)
Mg 0.0000 0.5000 0.0000  4 Cu 2.84, 4 Cd 2.84, 2 Mg 3.13
Mg 0.5000 0.0000 0.0000  4 Cu 2.84, 4 Cd 2.84, 2 Mg 3.13
Cd 0.0000 0.0000 0.5000  8 Mg 2.84, 2 Cu 3.13
Cu 0.5000 0.5000 0.5000  8 Mg 2.84, 2 Cd 3.13

=====

# 6
Compound: Mg2CdCu
Source: Alexandria
Functional: PBEsol
Structure: optimized geometry

- DFT total energy (eV per atom) = -2.29
- crystal system = orthorhombic
- magnetization (Bohr magnetons per cell) = 0.00

Unit cell a=5.4481 b=5.4481 c=5.4481 alpha=144.56 beta=129.96 gamma=62.81
Closest atoms and distances in Å follow each position.
Element x y z (fractional)
Mg 0.0000 0.0000 0.0000  2 Cu 2.68, 4 Cd 2.88
Mg 0.7189 0.2189 0.5000  4 Cu 2.84, 4 Cd 3.01-3.14, 4 Mg 3.07-3.10
Cd 0.4489 0.4489 0.0000  2 Cu 2.65, 4 Mg 2.88
Cu 0.2262 0.7262 0.5000  2 Cd 2.65, 6 Mg 2.68-2.84